1.
Compound: Be2NiBr
Source: Alexandria
Functional: GGA-PBEsol
Structure: relaxed Values from VASP.

Properties
uncorrected energy: -14.59 eV/cell
ΔE_f (raw): 0.36 eV/atom
total magnetic moment: 0.000 Bohr magnetons per cell
SG: No. 166

Quantum ESPRESSO input file:
```
&SYSTEM
  ibrav = 0, nat = 4, ntyp = 3
/
ATOMIC_SPECIES
Be 9.01 Be.upf
Ni 58.69 Ni.upf
Br 79.90 Br.upf
CELL_PARAMETERS angstrom
3.068 0.000 0.000
1.534 2.657 0.000
1.534 0.886 6.314
ATOMIC_POSITIONS angstrom
Be 4.602 2.657 4.948
Be 1.534 0.886 1.366
Ni 0.000 0.000 0.000
Br 3.068 1.771 3.157
```

2.
Compound: MnSb
Source: Alexandria
Functional: GGA-PBEsol
Structure: relaxed Values from VASP.

Properties
uncorrected energy: -28.48 eV/cell
ΔE_f (raw): 0.04 eV/atom
total magnetic moment: 5.764 Bohr magnetons per cell
SG: No. 194

Quantum ESPRESSO input file:
```
&SYSTEM
  ibrav = 0, nat = 4, ntyp = 2
/
ATOMIC_SPECIES
Mn 54.94 Mn.upf
Sb 121.76 Sb.upf
CELL_PARAMETERS angstrom
3.989 0.000 0.000
-1.994 3.454 0.000
0.000 0.000 5.473
ATOMIC_POSITIONS angstrom
Mn 0.000 0.000 2.736
Mn 0.000 0.000 0.000
Sb 1.994 1.151 4.104
Sb 0.000 2.303 1.368
```

3.
Compound: CeCdAg2
Source: Alexandria
Functional: GGA-PBEsol
Structure: relaxed Values from VASP.

Properties
uncorrected energy: -14.93 eV/cell
ΔE_f: -0.128 eV per atom
total magnetic moment: 0.669 Bohr magnetons per cell
SG: No. 225

Quantum ESPRESSO input file:
```
&SYSTEM
  ibrav = 0, nat = 4, ntyp = 3
/
ATOMIC_SPECIES
Ag 107.87 Ag.upf
Cd 112.41 Cd.upf
Ce 140.12 Ce.upf
CELL_PARAMETERS angstrom
-1.050 3.047 -3.728
-4.663 0.546 -1.497
-2.387 4.223 0.867
ATOMIC_POSITIONS angstrom
Ag -2.025 1.954 -1.089
Ag -6.075 5.862 -3.268
Cd 0.000 0.000 0.000
Ce -4.050 3.908 -2.179
```

4.
Compound: InAgHgI2
Source: Alexandria
Functional: GGA-PBEsol
Structure: relaxed Values from VASP.

Properties
uncorrected energy: -10.39 eV/cell
ΔE_f (raw): 0.00 eV/atom
total magnetic moment: 0.000 Bohr magnetons per cell
SG: No. 123

Quantum ESPRESSO input file:
```
&SYSTEM
  ibrav = 0, nat = 5, ntyp = 4
/
ATOMIC_SPECIES
Hg 200.59 Hg.upf
Ag 107.87 Ag.upf
I 126.90 I.upf
In 114.82 In.upf
CELL_PARAMETERS angstrom
-0.909 -4.948 -2.197
-1.827 -1.872 4.972
-5.231 1.555 -1.336
ATOMIC_POSITIONS angstrom
Hg -3.983 -2.633 0.719
Ag 0.000 0.000 0.000
I -2.615 0.777 -0.668
I -0.913 -0.936 2.486
In -0.455 -2.474 -1.099
```

5.
Compound: As2Ir2Au
Source: Alexandria
Functional: GGA-PBEsol
Structure: relaxed Values from VASP.

Properties
uncorrected energy: -32.89 eV/cell
ΔE_f: 0.178 eV per atom
total magnetic moment: 0.000 Bohr magnetons per cell
SG: No. 139

Quantum ESPRESSO input file:
```
&SYSTEM
  ibrav = 0, nat = 5, ntyp = 3
/
ATOMIC_SPECIES
As 74.92 As.upf
Au 196.97 Au.upf
Ir 192.22 Ir.upf
CELL_PARAMETERS angstrom
-3.083 -1.232 -1.986
-1.075 -2.171 3.016
-0.960 6.030 1.518
ATOMIC_POSITIONS angstrom
As -3.061 1.548 0.023
As -2.057 1.079 2.524
Au 0.000 0.000 0.000
Ir -2.332 3.321 1.560
Ir -2.786 -0.694 0.988
```

6.
Compound: NaLi3Ir
Source: Alexandria
Functional: GGA-PBEsol
Structure: relaxed Values from VASP.

Properties
uncorrected energy: -15.41 eV/cell
ΔE_f: 0.343 eV per atom
total magnetic moment: 0.000 Bohr magnetons per cell
SG: No. 221

Quantum ESPRESSO input file:
```
&SYSTEM
  ibrav = 0, nat = 5, ntyp = 3
/
ATOMIC_SPECIES
Li 6.94 Li.upf
Na 22.99 Na.upf
Ir 192.22 Ir.upf
CELL_PARAMETERS angstrom
-3.650 -3.018 -0.039
3.016 -3.646 -0.199
0.097 -0.178 4.732
ATOMIC_POSITIONS angstrom
Li -1.825 -1.509 -0.019
Li 1.508 -1.823 -0.099
Li 0.048 -0.089 2.366
Na -0.269 -3.421 2.247
Ir 0.000 0.000 0.000
```

7.
Compound: ScTlAg2
Source: Alexandria
Functional: GGA-PBEsol
Structure: relaxed Values from VASP.

Properties
uncorrected energy: -16.38 eV/cell
ΔE_f: -0.131 eV per atom
total magnetic moment: 0.001 Bohr magnetons per cell
SG: No. 123

Quantum ESPRESSO input file:
```
&SYSTEM
  ibrav = 0, nat = 4, ntyp = 3
/
ATOMIC_SPECIES
Ag 107.87 Ag.upf
Sc 44.96 Sc.upf
Tl 204.38 Tl.upf
CELL_PARAMETERS angstrom
-3.477 1.559 -1.874
-1.329 -3.989 -0.854
-2.074 -0.112 3.754
ATOMIC_POSITIONS angstrom
Ag -0.664 -1.995 -0.427
Ag -1.037 -0.056 1.877
Sc -3.440 -1.271 0.513
Tl -1.739 0.780 -0.937
```

8.
Compound: In2Ge2Bi
Source: Alexandria
Functional: GGA-PBEsol
Structure: relaxed Values from VASP.

Properties
uncorrected energy: -19.38 eV/cell
ΔE_f: 0.149 eV per atom
total magnetic moment: 0.000 Bohr magnetons per cell
SG: No. 139

Quantum ESPRESSO input file:
```
&SYSTEM
  ibrav = 0, nat = 5, ntyp = 3
/
ATOMIC_SPECIES
Ge 72.64 Ge.upf
In 114.82 In.upf
Bi 208.98 Bi.upf
CELL_PARAMETERS angstrom
3.818 0.000 0.000
0.000 3.818 0.000
-1.909 -1.909 8.401
ATOMIC_POSITIONS angstrom
Ge 0.000 1.909 4.201
Ge 1.909 0.000 4.201
In 0.000 0.000 6.556
In 1.909 1.909 1.845
Bi 0.000 0.000 0.000
```

9.
Compound: BaCuPt2
Source: Alexandria
Functional: GGA-PBEsol
Structure: relaxed Values from VASP.

Properties
uncorrected energy: -22.06 eV/cell
offset from the most stable computed form: 0 meV/atom
ΔE_f: -0.414 eV per atom
total magnetic moment: 0.000 Bohr magnetons per cell
SG: No. 8

Quantum ESPRESSO input file:
```
&SYSTEM
  ibrav = 0, nat = 4, ntyp = 3
/
ATOMIC_SPECIES
Pt 195.08 Pt.upf
Cu 63.55 Cu.upf
Ba 137.33 Ba.upf
CELL_PARAMETERS angstrom
4.441 0.000 0.000
-2.221 3.846 -0.042
0.000 -2.518 5.398
ATOMIC_POSITIONS angstrom
Pt 2.221 1.328 5.288
Pt 0.000 0.044 5.081
Cu 2.221 1.286 0.289
Ba 2.221 -1.262 2.751
```

10.
Compound: CaZn13
Source: Alexandria
Functional: GGA-PBEsol
Structure: relaxed Values from VASP.

Properties
uncorrected energy: -49.96 eV/cell
ΔE_f: -0.163 eV per atom
total magnetic moment: 0.000 Bohr magnetons per cell
SG: No. 226

Quantum ESPRESSO input file:
```
&SYSTEM
  ibrav = 0, nat = 28, ntyp = 2
/
ATOMIC_SPECIES
Ca 40.08 Ca.upf
Zn 65.41 Zn.upf
CELL_PARAMETERS angstrom
8.463 0.000 0.000
4.232 7.330 0.000
4.232 2.443 6.910
ATOMIC_POSITIONS angstrom
Ca 4.232 2.443 1.728
Ca 12.695 7.330 5.183
Zn 0.000 0.000 0.000
Zn 6.942 5.185 5.529
Zn 8.965 3.420 5.529
Zn 5.753 7.629 2.074
Zn 6.772 2.733 6.501
Zn 5.923 5.176 3.046
Zn 9.483 8.605 4.836
Zn 7.444 7.231 3.865
Zn 9.483 2.541 3.046
Zn 11.004 4.597 3.865
Zn 11.174 2.144 4.836
Zn 7.444 3.719 1.381
Zn 9.483 6.054 5.529
Zn 4.733 3.910 4.836
Zn 7.444 7.428 6.501
Zn 9.984 6.942 3.046
Zn 11.174 4.499 6.501
Zn 8.463 4.886 3.455
Zn 7.444 1.168 2.074
Zn 9.483 2.345 0.409
Zn 7.962 6.353 1.381
Zn 10.155 7.040 0.409
Zn 12.194 5.863 2.074
Zn 5.753 5.274 0.409
Zn 9.984 4.587 1.381
Zn 6.942 2.831 3.865
```

11.
Compound: VPO4
Source: Alexandria
Functional: GGA-PBEsol
Structure: relaxed Values from VASP.

Properties
uncorrected energy: -198.86 eV/cell
ΔE_f (raw): -2.22 eV/atom
total magnetic moment: 8.000 Bohr magnetons per cell
SG: No. 62

Quantum ESPRESSO input file:
```
&SYSTEM
  ibrav = 0, nat = 24, ntyp = 3
/
ATOMIC_SPECIES
O 16.00 O.upf
V 50.94 V.upf
P 30.97 P.upf
CELL_PARAMETERS angstrom
-3.774 2.741 0.578
-0.743 -2.274 5.929
5.063 6.324 3.060
ATOMIC_POSITIONS angstrom
O -2.587 2.336 2.295
O 3.952 5.001 4.137
O -1.929 2.515 7.272
O -0.676 1.564 0.860
O 0.606 3.877 6.734
O -1.632 3.424 4.901
O -0.061 2.915 2.834
O 3.133 4.455 7.272
O 2.177 3.367 4.666
O -0.973 0.654 3.231
O 1.221 5.228 8.707
O 2.475 4.276 2.295
O 1.519 6.137 6.336
O 0.285 1.523 5.791
O 0.261 5.268 3.777
O -3.406 1.791 5.431
V 0.645 4.533 1.819
V 0.273 3.396 4.784
V 0.000 0.000 0.000
V -0.372 -1.137 2.965
P -1.094 1.857 2.299
P 3.155 3.771 3.566
P 1.640 4.934 7.269
P -2.609 3.020 6.002
```

12.
Compound: Zr2NiHg
Source: Alexandria
Functional: GGA-PBEsol
Structure: relaxed Values from VASP.

Properties
uncorrected energy: -26.08 eV/cell
ΔE_f: -0.293 eV per atom
total magnetic moment: 0.000 Bohr magnetons per cell
SG: No. 123

Quantum ESPRESSO input file:
```
&SYSTEM
  ibrav = 0, nat = 4, ntyp = 3
/
ATOMIC_SPECIES
Hg 200.59 Hg.upf
Zr 91.22 Zr.upf
Ni 58.69 Ni.upf
CELL_PARAMETERS angstrom
-2.006 -1.934 -1.191
2.172 -1.169 -1.759
1.731 -5.267 5.639
ATOMIC_POSITIONS angstrom
Hg 0.083 -1.552 -1.475
Zr 1.239 -3.771 4.038
Zr 0.492 -1.496 1.602
Ni 0.949 -4.185 1.345
```